Here is an optimized crystal structure of Dy3Er5H12 from Alexandria. Energies are from GGA-PBE.

Cell lengths 11.2096, 11.2096, 11.2096 Å; angles 109.47, 109.47, 109.47 degrees
Fractional positions:
H1 0.4359 0.7778 0.8471
H2 0.1529 0.4307 0.0888
H3 0.4359 0.6581 0.0888
H4 0.3419 0.5641 0.4112
H5 0.4112 0.0641 0.3419
H6 0.8471 0.2778 0.4359
H7 0.5888 0.6529 0.4307
H8 0.9112 0.0693 0.8471
H9 0.5693 0.7222 0.6581
H10 0.2778 0.8471 0.9359
H11 0.7778 0.3419 0.9307
H12 0.0888 0.9307 0.1529
H13 0.9307 0.8419 0.7778
H14 0.3419 0.7778 0.4307
H15 0.3471 0.9359 0.7778
H16 0.8419 0.9112 0.0641
H17 0.1581 0.0888 0.9359
H18 0.1529 0.7222 0.5641
H19 0.6581 0.2222 0.5693
H20 0.8419 0.9307 0.2778
H21 0.7778 0.4359 0.3471
H22 0.5641 0.2222 0.1529
H23 0.4112 0.3471 0.5693
H24 0.6581 0.4359 0.5888
H25 0.6529 0.5888 0.9307
H26 0.0888 0.1581 0.4359
H27 0.2778 0.4307 0.8419
H28 0.3471 0.4112 0.0693
H29 0.4307 0.1529 0.5888
H30 0.9307 0.0888 0.6529
H31 0.5693 0.8471 0.4112
H32 0.0693 0.1581 0.2222
H33 0.9359 0.3471 0.2778
H34 0.6529 0.0641 0.2222
H35 0.0641 0.6529 0.7222
H36 0.1581 0.0693 0.7222
H37 0.2222 0.6581 0.0693
H38 0.8471 0.5693 0.9112
H39 0.0641 0.4112 0.8419
H40 0.9359 0.5888 0.1581
H41 0.7222 0.1529 0.0641
H42 0.7222 0.5693 0.1581
H43 0.4307 0.2778 0.3419
H44 0.9112 0.8419 0.5641
H45 0.2222 0.5641 0.6529
H46 0.5641 0.3419 0.9112
H47 0.0693 0.9112 0.3471
H48 0.5888 0.9359 0.6581
Dy1 0.7500 0.8750 0.6250
Dy2 0.8750 0.7500 0.1250
Dy3 0.6250 0.3750 0.7500
Dy4 0.2500 0.6250 0.8750
Dy5 0.1250 0.8750 0.7500
Dy6 0.3750 0.6250 0.2500
Dy7 0.7500 0.3750 0.1250
Dy8 0.8750 0.1250 0.2500
Dy9 0.3750 0.7500 0.6250
Dy10 0.2500 0.1250 0.3750
Dy11 0.6250 0.2500 0.3750
Dy12 0.1250 0.2500 0.8750
Er1 0.8750 0.2500 0.6250
Er2 0.1250 0.7500 0.3750
Er3 0.5000 0.0000 0.5000
Er4 0.6250 0.8750 0.2500
Er5 0.5000 0.5000 0.0000
Er6 0.2500 0.3750 0.6250
Er7 0.2500 0.8750 0.1250
Er8 0.8750 0.6250 0.7500
Er9 0.6250 0.7500 0.8750
Er10 0.5000 0.0000 0.0000
Er11 0.7500 0.6250 0.3750
Er12 0.0000 0.5000 0.0000
Er13 0.3750 0.1250 0.7500
Er14 0.0000 0.0000 0.0000
Er15 0.0000 0.0000 0.5000
Er16 0.3750 0.2500 0.1250
Er17 0.1250 0.3750 0.2500
Er18 0.7500 0.1250 0.8750
Er19 0.5000 0.5000 0.5000
Er20 0.0000 0.5000 0.5000

- V: 1084 Å³/cell
- Final energy: -345.10 eV per cell


Here is an optimized crystal structure of DyEr3H from Alexandria. Energies are from GGA-PBE.

Cell lengths 4.9406, 4.9406, 4.9406 Å; angles 90.00, 90.00, 90.00 degrees
Fractional positions:
Er1 0.0000 0.5000 0.0000
Er2 0.5000 0.0000 0.0000
Er3 0.0000 0.0000 0.5000
H1 0.0000 0.0000 0.0000
Dy1 0.5000 0.5000 0.5000

- V: 121 Å³/cell
- Final energy: -22.44 eV per cell


Here is an optimized crystal structure of Dy3ErH from Alexandria. Energies are from GGA-PBE.

Cell lengths 4.9689, 4.9689, 4.9689 Å; angles 90.00, 90.00, 90.00 degrees
Fractional positions:
Dy1 0.0000 0.5000 0.0000
Dy2 0.5000 0.0000 0.0000
Dy3 0.0000 0.0000 0.5000
Er1 0.5000 0.5000 0.5000
H1 0.0000 0.0000 0.0000

- V: 123 Å³/cell
- Final energy: -22.53 eV per cell


Here is an optimized crystal structure of Dy2ErHf from Alexandria. Energies are from GGA-PBE.

Cell lengths 4.8156, 4.8320, 4.8320 Å; angles 90.00, 90.00, 90.00 degrees
Fractional positions:
Dy1 0.0000 0.0000 0.5000
Dy2 0.0000 0.5000 0.0000
Er1 0.5000 0.5000 0.5000
Hf1 0.5000 0.0000 0.0000

- V: 112 Å³/cell
- Excess energy over the best structure of this formula in the dataset: 28 meV per atom
- Formation enthalpy at 0 K: 0.5 eV/f.u.


Here is an optimized crystal structure of DyEr2Hf from Alexandria. Energies are from GGA-PBE.

Cell lengths 3.3176, 3.3176, 12.0754 Å; angles 82.10, 82.10, 60.00 degrees
Fractional positions:
Er1 0.9132 0.9132 0.2603
Er2 0.0868 0.0868 0.7397
Dy1 0.5000 0.5000 0.5000
Hf1 0.0000 0.0000 0.0000

- V: 114 Å³/cell
- Excess energy over the best structure of this formula in the dataset: 257 meV per atom
- Formation enthalpy at 0 K: 1.4 eV/f.u.


Here is an optimized crystal structure of Dy12Er3Hf5 from Alexandria. Energies are from GGA-PBE.

Cell lengths 15.6455, 15.6455, 15.6455 Å; angles 109.47, 109.47, 109.47 degrees
Fractional positions:
Dy1 0.0560 0.4296 0.8368
Dy2 0.0704 0.9073 0.1264
Dy3 0.5704 0.6264 0.4073
Dy4 0.2191 0.6632 0.0927
Dy5 0.8368 0.9296 0.0560
Dy6 0.9073 0.0704 0.6264
Dy7 0.0927 0.1632 0.2191
Dy8 0.9296 0.8368 0.5560
Dy9 0.5560 0.2191 0.1264
Dy10 0.9296 0.0927 0.8736
Dy11 0.4296 0.0560 0.3368
Dy12 0.6632 0.2191 0.5927
Dy13 0.4073 0.2809 0.3368
Dy14 0.7191 0.5927 0.1632
Dy15 0.4440 0.7809 0.8736
Dy16 0.6632 0.4440 0.5704
Dy17 0.9073 0.8368 0.7809
Dy18 0.7809 0.4440 0.3736
Dy19 0.6264 0.5704 0.9073
Dy20 0.3368 0.7809 0.4073
Dy21 0.9440 0.5704 0.1632
Dy22 0.2809 0.4073 0.8368
Dy23 0.5927 0.7191 0.6632
Dy24 0.4440 0.6632 0.0704
Dy25 0.3736 0.9440 0.7809
Dy26 0.6264 0.0560 0.2191
Dy27 0.2809 0.8736 0.9440
Dy28 0.1264 0.4073 0.0704
Dy29 0.8736 0.2809 0.4440
Dy30 0.4296 0.3736 0.5927
Dy31 0.1264 0.7191 0.5560
Dy32 0.0560 0.6264 0.7191
Dy33 0.7191 0.1264 0.0560
Dy34 0.3736 0.4296 0.0927
Dy35 0.0704 0.1632 0.4440
Dy36 0.5927 0.8736 0.4296
Dy37 0.1632 0.0927 0.7191
Dy38 0.2191 0.5560 0.6264
Dy39 0.5704 0.9440 0.6632
Dy40 0.9440 0.3736 0.2809
Dy41 0.0927 0.9296 0.3736
Dy42 0.7809 0.3368 0.9073
Dy43 0.5560 0.3368 0.9296
Dy44 0.1632 0.0704 0.9440
Dy45 0.8368 0.9073 0.2809
Dy46 0.8736 0.5927 0.9296
Dy47 0.3368 0.5560 0.4296
Dy48 0.4073 0.1264 0.5704
Er1 0.3750 0.6250 0.2500
Er2 0.8750 0.1250 0.2500
Er3 0.8750 0.7500 0.1250
Er4 0.6250 0.3750 0.7500
Er5 0.7500 0.3750 0.1250
Er6 0.3750 0.7500 0.6250
Er7 0.7500 0.8750 0.6250
Er8 0.1250 0.2500 0.8750
Er9 0.1250 0.8750 0.7500
Er10 0.6250 0.2500 0.3750
Er11 0.2500 0.6250 0.8750
Er12 0.2500 0.1250 0.3750
Hf1 0.0000 0.5000 0.5000
Hf2 0.5000 0.0000 0.0000
Hf3 0.7500 0.1250 0.8750
Hf4 0.5000 0.0000 0.5000
Hf5 0.6250 0.8750 0.2500
Hf6 0.3750 0.1250 0.7500
Hf7 0.0000 0.5000 0.0000
Hf8 0.3750 0.2500 0.1250
Hf9 0.1250 0.3750 0.2500
Hf10 0.1250 0.7500 0.3750
Hf11 0.7500 0.6250 0.3750
Hf12 0.8750 0.2500 0.6250
Hf13 0.5000 0.5000 0.0000
Hf14 0.0000 0.0000 0.5000
Hf15 0.6250 0.7500 0.8750
Hf16 0.0000 0.0000 0.0000
Hf17 0.5000 0.5000 0.5000
Hf18 0.2500 0.3750 0.6250
Hf19 0.2500 0.8750 0.1250
Hf20 0.8750 0.6250 0.7500

- V: 2948 Å³/cell
- Formation enthalpy at 0 K: 26.0 eV/f.u.


Here is an optimized crystal structure of Dy2ErHf from Alexandria. Energies are from GGA-PBE.

Cell lengths 3.9780, 3.9780, 7.2021 Å; angles 90.00, 90.00, 90.00 degrees
Fractional positions:
Dy1 0.0000 0.0000 0.7754
Dy2 0.0000 0.0000 0.2246
Er1 0.5000 0.5000 0.5000
Hf1 0.5000 0.5000 0.0000

- V: 114 Å³/cell
- Excess energy over the best structure of this formula in the dataset: 108 meV per atom
- Formation enthalpy at 0 K: 0.9 eV/f.u.


Here is an optimized crystal structure of Dy2ErHf from Alexandria. Energies are from GGA-PBE.

Cell lengths 3.4309, 3.4309, 11.2999 Å; angles 81.27, 81.27, 60.00 degrees
Fractional positions:
Dy1 0.0786 0.0786 0.7643
Dy2 0.2548 0.2548 0.2356
Hf1 0.6666 0.6666 0.0002
Er1 0.5001 0.5001 0.4998

- V: 113 Å³/cell
- Excess energy over the best structure of this formula in the dataset: 0 meV per atom
- Formation enthalpy at 0 K: 0.4 eV/f.u.


Here is an optimized crystal structure of DyEr14Hf from Alexandria. Energies are from GGA-PBE.

Cell lengths 6.9658, 6.9658, 9.8225 Å; angles 90.00, 90.00, 90.00 degrees
Fractional positions:
Er1 0.1199 0.8801 0.2447
Er2 0.8750 0.6250 0.0000
Er3 0.3750 0.1250 0.0000
Er4 0.6301 0.3699 0.2446
Er5 0.6302 0.8802 0.7553
Er6 0.1198 0.3698 0.2447
Er7 0.8749 0.1251 0.5000
Er8 0.1198 0.3698 0.7553
Er9 0.8750 0.6250 0.5000
Er10 0.6302 0.8802 0.2447
Er11 0.1199 0.8801 0.7553
Er12 0.3750 0.6250 0.5000
Er13 0.6301 0.3699 0.7554
Er14 0.3750 0.1250 0.5000
Hf1 0.8750 0.1250 0.0000
Dy1 0.3750 0.6250 0.0000

- V: 477 Å³/cell
- Formation enthalpy at 0 K: 0.8 eV/f.u.


Here is an optimized crystal structure of DyEr2Hf from Alexandria. Energies are from GGA-PBE.

Cell lengths 3.9554, 3.9554, 7.2709 Å; angles 90.00, 90.00, 90.00 degrees
Fractional positions:
Er1 0.0000 0.0000 0.2222
Er2 0.0000 0.0000 0.7778
Hf1 0.5000 0.5000 0.0000
Dy1 0.5000 0.5000 0.5000

- V: 114 Å³/cell
- Excess energy over the best structure of this formula in the dataset: 120 meV per atom
- Formation enthalpy at 0 K: 0.9 eV/f.u.


Here is an optimized crystal structure of Dy12Er7Hf from Alexandria. Energies are from GGA-PBE.

Cell lengths 8.5947, 8.5947, 8.5947 Å; angles 94.42, 94.42, 94.42 degrees
Fractional positions:
Hf1 0.0000 0.0000 0.0000
Dy1 0.4104 0.4760 0.1458
Dy2 0.2487 0.6820 0.8119
Dy3 0.8542 0.5896 0.5240
Dy4 0.7513 0.3180 0.1881
Dy5 0.5896 0.5240 0.8542
Dy6 0.1881 0.7513 0.3180
Dy7 0.6820 0.8119 0.2487
Dy8 0.8119 0.2487 0.6820
Dy9 0.3180 0.1881 0.7513
Dy10 0.5240 0.8542 0.5896
Dy11 0.4760 0.1458 0.4104
Dy12 0.1458 0.4104 0.4760
Er1 0.5000 0.5000 0.5000
Er2 0.0782 0.3423 0.0148
Er3 0.0148 0.0782 0.3423
Er4 0.3423 0.0148 0.0782
Er5 0.6577 0.9852 0.9218
Er6 0.9218 0.6577 0.9852
Er7 0.9852 0.9218 0.6577

- V: 629 Å³/cell
- Formation enthalpy at 0 K: 6.1 eV/f.u.


Here is an optimized crystal structure of DyEr2Hf from Alexandria. Energies are from GGA-PBE.

Cell lengths 3.4232, 3.4232, 11.2670 Å; angles 81.26, 81.26, 60.00 degrees
Fractional positions:
Er1 0.2551 0.2551 0.2346
Er2 0.0782 0.0782 0.7654
Hf1 0.6664 0.6664 0.0007
Dy1 0.5002 0.5002 0.4993

- V: 113 Å³/cell
- Excess energy over the best structure of this formula in the dataset: 0 meV per atom
- Formation enthalpy at 0 K: 0.4 eV/f.u.


Here is an optimized crystal structure of DyEr2Hf from Alexandria. Energies are from GGA-PBE.

Cell lengths 4.8205, 4.8118, 4.8118 Å; angles 90.00, 90.00, 90.00 degrees
Fractional positions:
Er1 0.0000 0.5000 0.0000
Er2 0.0000 0.0000 0.5000
Hf1 0.5000 0.0000 0.0000
Dy1 0.5000 0.5000 0.5000

- V: 112 Å³/cell
- Excess energy over the best structure of this formula in the dataset: 36 meV per atom
- Formation enthalpy at 0 K: 0.5 eV/f.u.


Here is an optimized crystal structure of Dy2ErHf from Alexandria. Energies are from GGA-PBE.

Cell lengths 3.3266, 3.3266, 12.0823 Å; angles 82.09, 82.09, 60.00 degrees
Fractional positions:
Hf1 0.0000 0.0000 0.0000
Dy1 0.9132 0.9132 0.2603
Dy2 0.0868 0.0868 0.7397
Er1 0.5000 0.5000 0.5000

- V: 114 Å³/cell
- Excess energy over the best structure of this formula in the dataset: 244 meV per atom
- Formation enthalpy at 0 K: 1.4 eV/f.u.


Here is an optimized crystal structure of Dy7Er12Hf from Alexandria. Energies are from GGA-PBE.

Cell lengths 8.5643, 8.5643, 8.5643 Å; angles 94.67, 94.67, 94.67 degrees
Fractional positions:
Er1 0.5849 0.5180 0.8520
Er2 0.8147 0.2498 0.6857
Er3 0.1480 0.4151 0.4820
Er4 0.6857 0.8147 0.2498
Er5 0.3143 0.1853 0.7502
Er6 0.1853 0.7502 0.3143
Er7 0.7502 0.3143 0.1853
Er8 0.8520 0.5849 0.5180
Er9 0.4151 0.4820 0.1480
Er10 0.4820 0.1480 0.4151
Er11 0.2498 0.6857 0.8147
Er12 0.5180 0.8520 0.5849
Dy1 0.9809 0.9179 0.6533
Dy2 0.0191 0.0821 0.3467
Dy3 0.3467 0.0191 0.0821
Dy4 0.5000 0.5000 0.5000
Dy5 0.6533 0.9809 0.9179
Dy6 0.0821 0.3467 0.0191
Dy7 0.9179 0.6533 0.9809
Hf1 0.0000 0.0000 0.0000

- V: 622 Å³/cell
- Formation enthalpy at 0 K: 6.1 eV/f.u.


Here is an optimized crystal structure of DyEr2Hf3N6 from Alexandria. Energies are from GGA-PBE.

Cell lengths 5.7075, 5.7075, 5.7769 Å; angles 99.50, 99.50, 119.95 degrees
Fractional positions:
N1 0.2447 0.2447 0.7277
N2 0.9093 0.5737 0.7280
N3 0.5737 0.9093 0.7280
N4 0.0907 0.4263 0.2720
N5 0.7553 0.7553 0.2723
N6 0.4263 0.0907 0.2720
Hf1 0.5000 0.5000 0.5000
Hf2 0.8330 0.1670 0.5000
Hf3 0.1670 0.8330 0.5000
Dy1 0.0000 0.0000 0.0000
Er1 0.3332 0.6667 0.0000
Er2 0.6667 0.3332 0.0000

- ΔE_f (raw): -2100.9 kJ/mol of formula units
- V: 154 Å³/cell


Here is an optimized crystal structure of DyErHf2N4 from Alexandria. Energies are from GGA-PBE.

Cell lengths 4.6995, 4.6995, 5.7325 Å; angles 114.20, 114.20, 90.00 degrees
Fractional positions:
Er1 0.5000 0.5000 0.0000
N1 0.4904 0.9904 0.9809
N2 0.2416 0.2416 0.4832
N3 0.7584 0.7584 0.5168
N4 0.0096 0.5096 0.0191
Hf1 0.0000 0.0000 0.0000
Hf2 0.2500 0.7500 0.5000
Dy1 0.7500 0.2500 0.5000

- ΔE_f (raw): -1356.2 kJ/mol of formula units
- V: 103 Å³/cell